Record 1
PmTl2P2Pd7 | GGA-PBE | relaxed

It has space group C2/m (No. 12), with a = 5.812 Å, b = 5.810 Å, c = 13.855 Å, α = 90.00°, β = 97.63° and γ = 90.00°. The distinct sites, in fractional coordinates, are Pm at (0.000, 0.000, 0.000), Tl at (0.103, 0.000, 0.392), P at (0.078, 0.500, 0.247), Pd at (0.000, 0.500, 0.000), Pd at (0.107, 0.500, 0.414) and Pd at (0.199, 0.250, 0.840).

The total energy comes out at -5.17 eV/atom. The formation energy from the elements is -0.446 eV/atom. The volume is 19.3 Å³ per atom.

Record 2
SrCrCl4 | GGA-PBE | relaxed

It has space group C2/m (No. 12), with a = 7.356 Å, b = 6.896 Å, c = 6.799 Å, α = 90.00°, β = 107.54° and γ = 90.00°. The distinct sites, in fractional coordinates, are Sr at (0.000, 0.000, 0.000), Cr at (0.000, 0.500, 0.500) and Cl at (0.170, 0.261, 0.734).

The total energy comes out at -4.79 eV/atom. The value obtained for the energy above the most stable polymorph in this dataset is 2 meV/atom. The volume is 27.4 Å³ per atom. Its raw formation energy is -1.68 eV per atom.

Record 3
CsKZrW2 | GGA-PBE | relaxed

It has space group P4/mmm (No. 123), with a = 4.992 Å, b = 4.992 Å, c = 6.627 Å, α = 90.00°, β = 90.00° and γ = 90.00°. The distinct sites, in fractional coordinates, are Cs at (0.000, 0.000, 0.000), K at (0.500, 0.500, 0.000), Zr at (0.500, 0.500, 0.500) and W at (0.000, 0.500, 0.500).

The total energy comes out at -5.30 eV/atom. The formation energy from the elements is 1.977 eV/atom. The volume is 33.0 Å³ per atom.

Record 4
ThMgNb | GGA-PBE | relaxed

It has space group C2/m (No. 12), with a = 10.924 Å, b = 5.043 Å, c = 5.501 Å, α = 90.00°, β = 97.52° and γ = 90.00°. The distinct sites, in fractional coordinates, are Th at (0.128, 0.000, 0.319), Mg at (0.069, 0.500, 0.765) and Nb at (0.217, 0.000, 0.865).

The total energy comes out at -6.11 eV/atom. The formation energy from the elements is 0.251 eV/atom. The volume is 25.0 Å³ per atom.

Record 5
Pm4Th3Te8 | GGA-PBE | relaxed

It has space group C2/m (No. 12), with a = 12.565 Å, b = 12.574 Å, c = 8.870 Å, α = 90.00°, β = 134.81° and γ = 90.00°. The distinct sites, in fractional coordinates, are Pm at (0.000, 0.000, 0.000), Pm at (0.000, 0.500, 0.500), Pm at (0.250, 0.250, 0.000), Th at (0.000, 0.500, 0.000), Th at (0.250, 0.250, 0.500), Te at (0.000, 0.242, 0.500), Te at (0.000, 0.249, 0.000), Te at (0.240, 0.000, 0.498) and Te at (0.243, 0.000, 0.987).

The total energy comes out at -5.72 eV/atom. The volume is 33.1 Å³ per atom. Its raw formation energy is -1.29 eV per atom.

Record 6
HfFePd3 | GGA-PBE | relaxed

It has space group Pm-3m (No. 221), with a = 4.827 Å, b = 4.827 Å, c = 4.827 Å, α = 90.00°, β = 90.00° and γ = 90.00°. The distinct sites, in fractional coordinates, are Hf at (0.000, 0.000, 0.000), Fe at (0.500, 0.500, 0.500) and Pd at (0.000, 0.000, 0.500).

The total energy comes out at -5.90 eV/atom. The value obtained for the energy above the most stable polymorph in this dataset is 428 meV/atom. The formation energy from the elements is 0.903 eV/atom. The volume is 22.5 Å³ per atom.

Record 7
Sc4Pd3Au | GGA-PBE | relaxed

It has space group R-3m (No. 166, hexagonal axes), with a = 4.7160 Å, b = 4.7160 Å, c = 23.1310 Å, α = 90.00°, β = 90.00° and γ = 120.00°. The distinct sites, in fractional coordinates, are Sc at (0.0000, 0.0000, 0.1232), Sc at (0.0000, 0.0000, 0.3736), Pd at (0.0000, 0.0000, 0.0000), Pd at (0.0000, 0.0000, 0.2517) and Au at (0.0000, 0.0000, 0.5000).

The total energy comes out at -6.40 eV/atom. The formation energy from the elements is -0.873 eV/atom. The volume is 18.6 Å³ per atom.

Record 8
DyErBi2 | GGA-PBE | relaxed

It has space group R3m (No. 160, hexagonal axes), with a = 4.4253 Å, b = 4.4253 Å, c = 22.6633 Å, α = 90.00°, β = 90.00° and γ = 120.00°. The distinct sites, in fractional coordinates, are Dy at (0.0000, 0.0000, 0.0000), Er at (0.0000, 0.0000, 0.1704), Bi at (0.0000, 0.0000, 0.5828) and Bi at (0.0000, 0.0000, 0.7538).

The total energy comes out at -4.97 eV/atom. The value obtained for the energy above the most stable polymorph in this dataset is 99 meV/atom. The formation energy from the elements is -0.738 eV/atom. The volume is 32.0 Å³ per atom.

Record 9
InGeI2N | GGA-PBE | relaxed

It has space group P4/mmm (No. 123), with a = 6.110 Å, b = 6.110 Å, c = 4.047 Å, α = 90.00°, β = 90.00° and γ = 90.00°. The distinct sites, in fractional coordinates, are In at (0.000, 0.000, 0.000), Ge at (0.500, 0.500, 0.500), I at (0.000, 0.500, 0.000) and N at (0.000, 0.000, 0.500).

The total energy comes out at -3.00 eV/atom. The value obtained for the energy above the most stable polymorph in this dataset is 438 meV/atom. The volume is 30.2 Å³ per atom. Its raw formation energy is 0.76 eV per atom.

Record 10
AgTeBr2 | GGA-PBE | relaxed

It has space group Fm-3m (No. 225), with a = 7.552 Å, b = 7.552 Å, c = 7.552 Å, α = 90.00°, β = 90.00° and γ = 90.00°. The distinct sites, in fractional coordinates, are Ag at (0.000, 0.000, 0.000), Te at (0.000, 0.000, 0.500) and Br at (0.250, 0.250, 0.250).

The total energy comes out at -1.98 eV/atom. The value obtained for the energy above the most stable polymorph in this dataset is 521 meV/atom. The volume is 26.9 Å³ per atom. Its raw formation energy is 0.36 eV per atom.

Record 11
ZnSiTe2 | GGA-PBE | relaxed

It has space group R-3m (No. 166, hexagonal axes), with a = 4.4201 Å, b = 4.4201 Å, c = 23.6564 Å, α = 90.00°, β = 90.00° and γ = 120.00°. The distinct sites, in fractional coordinates, are Zn at (0.0000, 0.0000, 0.0000), Si at (0.0000, 0.0000, 0.5000) and Te at (0.0000, 0.0000, 0.1049).

The total energy comes out at -3.05 eV/atom. The value obtained for the energy above the most stable polymorph in this dataset is 198 meV/atom. The volume is 33.4 Å³ per atom. Its raw formation energy is 0.19 eV per atom.

Record 12
PmEr8Tl2 | GGA-PBE | relaxed

It has space group C2/m (No. 12), with a = 8.803 Å, b = 15.059 Å, c = 5.580 Å, α = 90.00°, β = 113.50° and γ = 90.00°. The distinct sites, in fractional coordinates, are Pm at (0.000, 0.000, 0.000), Er at (0.000, 0.219, 0.000), Er at (0.095, 0.500, 0.796), Er at (0.209, 0.114, 0.621) and Tl at (0.000, 0.306, 0.500).

The total energy comes out at -4.17 eV/atom. The formation energy from the elements is 0.006 eV/atom. The volume is 30.8 Å³ per atom.